The following is a meta-GGA SCAN calculation of a crystal of Ta2SnC relaxed with PBEsol, from Alexandria via LeMat-Bulk.

Cell lengths 4.445, 4.445, 4.445 Å; angles 60.00, 60.00, 60.00 degrees
Element x y z (fractional)
Ta (0.750, 0.750, 0.750)
Sn (0.500, 0.500, 0.500)
C (0.000, 0.000, 0.000)
Ta (0.250, 0.250, 0.250)

total energy = -43.582 eV per atom
energy of formation = 1.21 eV per atom
crystal system = cubic

The following is a meta-GGA SCAN calculation of a crystal of CaOsBr relaxed with PBEsol, from Alexandria via LeMat-Bulk.

Cell lengths 4.897, 4.897, 4.897 Å; angles 60.00, 60.00, 60.00 degrees
Element x y z (fractional)
Br (0.500, 0.500, 0.500)
Os (0.000, 0.000, 0.000)
Ca (0.250, 0.250, 0.250)

offset from the most stable computed form = 590 meV per atom
formation energy from raw total energies = 95.1 kJ per mole of atoms
total energy = -32.682 eV per atom
crystal system = cubic

The following is a meta-GGA SCAN calculation of a crystal of Tl2FeRh relaxed with PBEsol, from Alexandria via LeMat-Bulk.

Cell lengths 3.110, 4.689, 4.689 Å; angles 90.00, 90.00, 90.00 degrees
Element x y z (fractional)
Fe (0.500, 0.500, 0.500)
Tl (0.000, 0.500, 0.000)
Tl (0.000, 0.000, 0.500)
Rh (0.500, 0.000, 0.000)

offset from the most stable computed form = 197 meV per atom
total energy = -48.751 eV per atom
energy of formation = 0.40 eV per atom
crystal system = tetragonal

The following is a meta-GGA SCAN calculation of a crystal of ScCd2Rh relaxed with PBEsol, from Alexandria via LeMat-Bulk.

Cell lengths 4.640, 4.640, 4.640 Å; angles 60.00, 60.00, 60.00 degrees
Element x y z (fractional)
Sc (0.500, 0.500, 0.500)
Cd (0.250, 0.250, 0.250)
Rh (0.000, 0.000, 0.000)
Cd (0.750, 0.750, 0.750)

total energy = -27.550 eV per atom
energy of formation = -0.34 eV per atom
crystal system = cubic

The following is a meta-GGA SCAN calculation of a crystal of MnAlAsSe2 relaxed with PBEsol, from Alexandria via LeMat-Bulk.

Cell lengths 4.513, 4.803, 4.803 Å; angles 90.00, 90.00, 90.00 degrees
Element x y z (fractional)
Se (0.000, 0.500, 0.000)
Mn (0.000, 0.000, 0.000)
Al (0.500, 0.500, 0.500)
As (0.500, 0.000, 0.000)
Se (0.000, 0.000, 0.500)

formation energy from raw total energies = 22.1 kJ per mole of atoms
total energy = -17.042 eV per atom
crystal system = tetragonal

The following is a meta-GGA SCAN calculation of a crystal of CrPtW2 relaxed with PBEsol, from Alexandria via LeMat-Bulk.

Cell lengths 2.688, 2.688, 8.023 Å; angles 90.00, 90.00, 90.00 degrees
Element x y z (fractional)
W (0.000, 0.000, 0.759)
W (0.000, 0.000, 0.241)
Cr (0.500, 0.500, 0.000)
Pt (0.500, 0.500, 0.500)

offset from the most stable computed form = 144 meV per atom
total energy = -56.937 eV per atom
energy of formation = 0.05 eV per atom
crystal system = tetragonal